1.
# La2ZnCoO6 GGA-PBEsol relaxed
data_La2ZnCoO6
_cell_length_a 5.376
_cell_length_b 5.376
_cell_length_c 5.376
_cell_angle_alpha 61.51
_cell_angle_beta 61.51
_cell_angle_gamma 61.51
_symmetry_space_group_name_H-M 'P 1'
_symmetry_Int_Tables_number 1
_symmetry_space_group_name_Hall 'P 1'
loop_
_atom_site_label
_atom_site_fract_x
_atom_site_fract_y
_atom_site_fract_z
La1 0.249 0.249 0.249
La2 0.751 0.751 0.751
Zn1 0.500 0.500 0.500
Co1 0.000 0.000 0.000
O1 0.177 0.302 0.765
O2 0.235 0.823 0.698
O3 0.302 0.765 0.177
O4 0.698 0.235 0.823
O5 0.765 0.177 0.302
O6 0.823 0.698 0.235
# Energy relative to the elements, uncorrected in meV/atom: -2356


2.
# CsTiCl3 GGA-PBEsol relaxed
data_CsTiCl3
_cell_length_a 7.359
_cell_length_b 7.359
_cell_length_c 5.526
_cell_angle_alpha 90.00
_cell_angle_beta 90.00
_cell_angle_gamma 120.00
_symmetry_space_group_name_H-M 'P 1'
_symmetry_Int_Tables_number 1
_symmetry_space_group_name_Hall 'P 1'
loop_
_atom_site_label
_atom_site_fract_x
_atom_site_fract_y
_atom_site_fract_z
Cs1 0.333 0.667 0.250
Cs2 0.667 0.333 0.750
Ti1 0.000 0.000 0.000
Ti2 0.000 0.000 0.500
Cl1 0.162 0.324 0.750
Cl2 0.162 0.838 0.750
Cl3 0.324 0.162 0.250
Cl4 0.676 0.838 0.750
Cl5 0.838 0.162 0.250
Cl6 0.838 0.676 0.250
# Relative energy among the computed polymorphs in eV per atom: 0.000
# Energy relative to the elements, uncorrected in meV/atom: -1716


3.
# Be2AgRu GGA-PBEsol relaxed
data_Be2AgRu
_cell_length_a 4.578
_cell_length_b 4.578
_cell_length_c 4.173
_cell_angle_alpha 105.48
_cell_angle_beta 105.48
_cell_angle_gamma 33.23
_symmetry_space_group_name_H-M 'P 1'
_symmetry_Int_Tables_number 1
_symmetry_space_group_name_Hall 'P 1'
loop_
_atom_site_label
_atom_site_fract_x
_atom_site_fract_y
_atom_site_fract_z
Be1 0.000 0.000 0.000
Be2 0.722 0.722 0.343
Ag1 0.249 0.249 0.857
Ru1 0.472 0.472 0.475
# Formation enthalpy at 0 K in meV per atom: 76


4.
# MnAlTl GGA-PBEsol relaxed
data_MnAlTl
_cell_length_a 4.377
_cell_length_b 4.377
_cell_length_c 4.377
_cell_angle_alpha 60.00
_cell_angle_beta 60.00
_cell_angle_gamma 60.00
_symmetry_space_group_name_H-M 'P 1'
_symmetry_Int_Tables_number 1
_symmetry_space_group_name_Hall 'P 1'
loop_
_atom_site_label
_atom_site_fract_x
_atom_site_fract_y
_atom_site_fract_z
Mn1 0.000 0.000 0.000
Al1 0.250 0.250 0.250
Tl1 0.750 0.750 0.750
# Formation enthalpy at 0 K in meV per atom: 428


5.
# InFeAg2 GGA-PBEsol relaxed
data_InFeAg2
_cell_length_a 5.014
_cell_length_b 5.014
_cell_length_c 4.829
_cell_angle_alpha 101.66
_cell_angle_beta 101.66
_cell_angle_gamma 33.55
_symmetry_space_group_name_H-M 'P 1'
_symmetry_Int_Tables_number 1
_symmetry_space_group_name_Hall 'P 1'
loop_
_atom_site_label
_atom_site_fract_x
_atom_site_fract_y
_atom_site_fract_z
In1 0.000 0.000 0.000
Fe1 0.500 0.500 0.500
Ag1 0.241 0.241 0.738
Ag2 0.759 0.759 0.262
# Formation enthalpy at 0 K in meV per atom: 221


6.
# RbTaNb2Br GGA-PBEsol relaxed
data_RbTaNb2Br
_cell_length_a 4.820
_cell_length_b 4.820
_cell_length_c 4.882
_cell_angle_alpha 90.00
_cell_angle_beta 90.00
_cell_angle_gamma 90.00
_symmetry_space_group_name_H-M 'P 1'
_symmetry_Int_Tables_number 1
_symmetry_space_group_name_Hall 'P 1'
loop_
_atom_site_label
_atom_site_fract_x
_atom_site_fract_y
_atom_site_fract_z
Rb1 0.000 0.000 0.000
Ta1 0.000 0.000 0.500
Nb1 0.000 0.500 0.000
Nb2 0.500 0.000 0.000
Br1 0.500 0.500 0.500
# Energy relative to the elements, uncorrected in meV/atom: 3034


7.
# Na2ZrGeO5 GGA-PBEsol relaxed
data_Na2ZrGeO5
_cell_length_a 14.138
_cell_length_b 5.549
_cell_length_c 13.877
_cell_angle_alpha 90.00
_cell_angle_beta 119.11
_cell_angle_gamma 90.00
_symmetry_space_group_name_H-M 'P 1'
_symmetry_Int_Tables_number 1
_symmetry_space_group_name_Hall 'P 1'
loop_
_atom_site_label
_atom_site_fract_x
_atom_site_fract_y
_atom_site_fract_z
Na1 0.076 0.231 0.149
Na2 0.076 0.269 0.649
Na3 0.179 0.731 0.828
Na4 0.179 0.769 0.328
Na5 0.321 0.250 0.150
Na6 0.321 0.250 0.650
Na7 0.422 0.730 0.070
Na8 0.422 0.770 0.570
Na9 0.578 0.230 0.430
Na10 0.578 0.270 0.930
Na11 0.679 0.750 0.350
Na12 0.679 0.750 0.850
Na13 0.821 0.231 0.672
Na14 0.821 0.269 0.172
Na15 0.924 0.731 0.351
Na16 0.924 0.769 0.851
Zr1 0.063 0.233 0.869
Zr2 0.063 0.267 0.369
Zr3 0.437 0.738 0.805
Zr4 0.437 0.762 0.305
Zr5 0.563 0.238 0.695
Zr6 0.563 0.262 0.195
Zr7 0.937 0.733 0.631
Zr8 0.937 0.767 0.131
Ge1 0.158 0.713 0.066
Ge2 0.158 0.787 0.566
Ge3 0.340 0.220 0.907
Ge4 0.340 0.280 0.407
Ge5 0.660 0.720 0.593
Ge6 0.660 0.780 0.093
Ge7 0.842 0.213 0.434
Ge8 0.842 0.287 0.934
O1 0.003 0.524 0.771
O2 0.003 0.976 0.271
O3 0.089 0.692 0.635
O4 0.089 0.808 0.135
O5 0.121 0.600 0.451
O6 0.121 0.900 0.951
O7 0.132 0.095 0.529
O8 0.132 0.405 0.029
O9 0.202 0.217 0.354
O10 0.202 0.283 0.854
O11 0.299 0.734 0.150
O12 0.299 0.766 0.650
O13 0.359 0.590 0.389
O14 0.359 0.910 0.889
O15 0.384 0.096 0.335
O16 0.384 0.404 0.835
O17 0.413 0.205 0.548
O18 0.413 0.295 0.048
O19 0.495 0.034 0.768
O20 0.495 0.466 0.268
O21 0.505 0.534 0.732
O22 0.505 0.966 0.232
O23 0.587 0.705 0.952
O24 0.587 0.795 0.452
O25 0.616 0.596 0.165
O26 0.616 0.904 0.665
O27 0.641 0.090 0.111
O28 0.641 0.410 0.611
O29 0.701 0.234 0.350
O30 0.701 0.266 0.850
O31 0.798 0.717 0.146
O32 0.798 0.783 0.646
O33 0.868 0.595 0.971
O34 0.868 0.905 0.471
O35 0.879 0.100 0.049
O36 0.879 0.400 0.549
O37 0.911 0.192 0.865
O38 0.911 0.308 0.365
O39 0.997 0.024 0.729
O40 0.997 0.476 0.229
# Energy relative to the elements, uncorrected in meV/atom: -2352


8.
# LaAuS2 GGA-PBEsol relaxed
data_LaAuS2
_cell_length_a 7.581
_cell_length_b 7.581
_cell_length_c 7.581
_cell_angle_alpha 33.87
_cell_angle_beta 33.87
_cell_angle_gamma 33.87
_symmetry_space_group_name_H-M 'P 1'
_symmetry_Int_Tables_number 1
_symmetry_space_group_name_Hall 'P 1'
loop_
_atom_site_label
_atom_site_fract_x
_atom_site_fract_y
_atom_site_fract_z
La1 0.000 0.000 0.000
Au1 0.500 0.500 0.500
S1 0.394 0.394 0.394
S2 0.606 0.606 0.606
# Energy relative to the elements, uncorrected in meV/atom: -1279


9.
# NaMgAsBr2 GGA-PBEsol relaxed
data_NaMgAsBr2
_cell_length_a 5.361
_cell_length_b 5.361
_cell_length_c 5.199
_cell_angle_alpha 90.00
_cell_angle_beta 90.00
_cell_angle_gamma 90.00
_symmetry_space_group_name_H-M 'P 1'
_symmetry_Int_Tables_number 1
_symmetry_space_group_name_Hall 'P 1'
loop_
_atom_site_label
_atom_site_fract_x
_atom_site_fract_y
_atom_site_fract_z
Na1 0.000 0.000 0.000
Mg1 0.500 0.500 0.500
As1 0.500 0.500 0.000
Br1 0.000 0.500 0.500
Br2 0.500 0.000 0.500
# Energy relative to the elements, uncorrected in meV/atom: -566


10.
# AlPtBr2 GGA-PBEsol relaxed
data_AlPtBr2
_cell_length_a 3.243
_cell_length_b 4.262
_cell_length_c 5.833
_cell_angle_alpha 90.00
_cell_angle_beta 90.00
_cell_angle_gamma 90.00
_symmetry_space_group_name_H-M 'P 1'
_symmetry_Int_Tables_number 1
_symmetry_space_group_name_Hall 'P 1'
loop_
_atom_site_label
_atom_site_fract_x
_atom_site_fract_y
_atom_site_fract_z
Al1 0.000 0.000 0.000
Pt1 0.500 0.000 0.500
Br1 0.000 0.500 0.500
Br2 0.500 0.500 0.000
# Relative energy among the computed polymorphs in eV per atom: 0.687
# Energy relative to the elements, uncorrected in meV/atom: 218


11.
# CdAgHg2 GGA-PBEsol relaxed
data_CdAgHg2
_cell_length_a 5.208
_cell_length_b 5.208
_cell_length_c 5.098
_cell_angle_alpha 98.63
_cell_angle_beta 98.63
_cell_angle_gamma 35.97
_symmetry_space_group_name_H-M 'P 1'
_symmetry_Int_Tables_number 1
_symmetry_space_group_name_Hall 'P 1'
loop_
_atom_site_label
_atom_site_fract_x
_atom_site_fract_y
_atom_site_fract_z
Cd1 0.000 0.000 0.000
Ag1 0.260 0.260 0.753
Hg1 0.513 0.513 0.519
Hg2 0.752 0.752 0.244
# Formation enthalpy at 0 K in meV per atom: 15


12.
# Y5Zn3 GGA-PBEsol relaxed
data_Y5Zn3
_cell_length_a 8.618
_cell_length_b 8.618
_cell_length_c 6.097
_cell_angle_alpha 90.00
_cell_angle_beta 90.00
_cell_angle_gamma 120.00
_symmetry_space_group_name_H-M 'P 1'
_symmetry_Int_Tables_number 1
_symmetry_space_group_name_Hall 'P 1'
loop_
_atom_site_label
_atom_site_fract_x
_atom_site_fract_y
_atom_site_fract_z
Y1 0.000 0.242 0.250
Y2 0.000 0.758 0.750
Y3 0.242 0.000 0.250
Y4 0.242 0.242 0.750
Y5 0.333 0.667 0.000
Y6 0.333 0.667 0.500
Y7 0.667 0.333 0.000
Y8 0.667 0.333 0.500
Y9 0.758 0.000 0.750
Y10 0.758 0.758 0.250
Zn1 0.000 0.402 0.750
Zn2 0.000 0.598 0.250
Zn3 0.402 0.000 0.750
Zn4 0.402 0.402 0.250
Zn5 0.598 0.000 0.250
Zn6 0.598 0.598 0.750
# Formation enthalpy at 0 K in meV per atom: -186
# Relative energy among the computed polymorphs in eV per atom: 0.007


13.
# ZnP4 GGA-PBEsol relaxed
data_ZnP4
_cell_length_a 4.962
_cell_length_b 4.962
_cell_length_c 14.389
_cell_angle_alpha 90.00
_cell_angle_beta 90.00
_cell_angle_gamma 90.00
_symmetry_space_group_name_H-M 'P 1'
_symmetry_Int_Tables_number 1
_symmetry_space_group_name_Hall 'P 1'
loop_
_atom_site_label
_atom_site_fract_x
_atom_site_fract_y
_atom_site_fract_z
Zn1 0.196 0.196 0.000
Zn2 0.304 0.696 0.250
Zn3 0.696 0.304 0.750
Zn4 0.804 0.804 0.500
P1 0.016 0.898 0.125
P2 0.069 0.679 0.798
P3 0.102 0.984 0.375
P4 0.179 0.431 0.548
P5 0.321 0.931 0.702
P6 0.398 0.484 0.875
P7 0.431 0.179 0.452
P8 0.484 0.398 0.125
P9 0.516 0.602 0.625
P10 0.569 0.821 0.952
P11 0.602 0.516 0.375
P12 0.679 0.069 0.202
P13 0.821 0.569 0.048
P14 0.898 0.016 0.875
P15 0.931 0.321 0.298
P16 0.984 0.102 0.625
# Formation enthalpy at 0 K in meV per atom: -85


14.
# LiMgRh2 GGA-PBEsol relaxed
data_LiMgRh2
_cell_length_a 5.152
_cell_length_b 5.152
_cell_length_c 4.625
_cell_angle_alpha 116.50
_cell_angle_beta 116.50
_cell_angle_gamma 30.90
_symmetry_space_group_name_H-M 'P 1'
_symmetry_Int_Tables_number 1
_symmetry_space_group_name_Hall 'P 1'
loop_
_atom_site_label
_atom_site_fract_x
_atom_site_fract_y
_atom_site_fract_z
Li1 0.000 0.000 0.000
Mg1 0.233 0.233 0.576
Rh1 0.483 0.483 0.497
Rh2 0.751 0.751 0.084
# Formation enthalpy at 0 K in meV per atom: -195


15.
# LiScOF2 GGA-PBEsol relaxed
data_LiScOF2
_cell_length_a 4.076
_cell_length_b 4.076
_cell_length_c 3.988
_cell_angle_alpha 90.00
_cell_angle_beta 90.00
_cell_angle_gamma 90.00
_symmetry_space_group_name_H-M 'P 1'
_symmetry_Int_Tables_number 1
_symmetry_space_group_name_Hall 'P 1'
loop_
_atom_site_label
_atom_site_fract_x
_atom_site_fract_y
_atom_site_fract_z
Li1 0.000 0.000 0.000
Sc1 0.500 0.500 0.500
O1 0.500 0.500 0.000
F1 0.000 0.500 0.500
F2 0.500 0.000 0.500
# Energy relative to the elements, uncorrected in meV/atom: -3082


16.
# GdAg GGA-PBEsol relaxed
data_GdAg
_cell_length_a 3.601
_cell_length_b 3.601
_cell_length_c 3.601
_cell_angle_alpha 90.00
_cell_angle_beta 90.00
_cell_angle_gamma 90.00
_symmetry_space_group_name_H-M 'P 1'
_symmetry_Int_Tables_number 1
_symmetry_space_group_name_Hall 'P 1'
loop_
_atom_site_label
_atom_site_fract_x
_atom_site_fract_y
_atom_site_fract_z
Gd1 0.000 0.000 0.000
Ag1 0.500 0.500 0.500
# Formation enthalpy at 0 K in meV per atom: -293


17.
# ZrRe2P GGA-PBEsol relaxed
data_ZrRe2P
_cell_length_a 3.073
_cell_length_b 3.990
_cell_length_c 5.211
_cell_angle_alpha 90.00
_cell_angle_beta 104.05
_cell_angle_gamma 90.00
_symmetry_space_group_name_H-M 'P 1'
_symmetry_Int_Tables_number 1
_symmetry_space_group_name_Hall 'P 1'
loop_
_atom_site_label
_atom_site_fract_x
_atom_site_fract_y
_atom_site_fract_z
Zr1 0.000 0.000 0.000
Re1 0.336 0.500 0.685
Re2 0.683 0.000 0.478
P1 0.572 0.500 0.180
# Formation enthalpy at 0 K in meV per atom: -262


18.
# Cr2CuP GGA-PBEsol relaxed
data_Cr2CuP
_cell_length_a 8.013
_cell_length_b 8.013
_cell_length_c 8.013
_cell_angle_alpha 18.83
_cell_angle_beta 18.83
_cell_angle_gamma 18.83
_symmetry_space_group_name_H-M 'P 1'
_symmetry_Int_Tables_number 1
_symmetry_space_group_name_Hall 'P 1'
loop_
_atom_site_label
_atom_site_fract_x
_atom_site_fract_y
_atom_site_fract_z
Cr1 0.000 0.000 0.000
Cr2 0.251 0.251 0.251
Cu1 0.494 0.494 0.494
P1 0.740 0.740 0.740
# Formation enthalpy at 0 K in meV per atom: 190


19.
# BeCO2 GGA-PBEsol relaxed
data_BeCO2
_cell_length_a 4.892
_cell_length_b 4.892
_cell_length_c 4.892
_cell_angle_alpha 30.03
_cell_angle_beta 30.03
_cell_angle_gamma 30.03
_symmetry_space_group_name_H-M 'P 1'
_symmetry_Int_Tables_number 1
_symmetry_space_group_name_Hall 'P 1'
loop_
_atom_site_label
_atom_site_fract_x
_atom_site_fract_y
_atom_site_fract_z
Be1 0.000 0.000 0.000
C1 0.500 0.500 0.500
O1 0.402 0.402 0.402
O2 0.598 0.598 0.598
# Relative energy among the computed polymorphs in eV per atom: 0.000
# Energy relative to the elements, uncorrected in meV/atom: -542


20.
# Ba2CaTaPt GGA-PBEsol relaxed
data_Ba2CaTaPt
_cell_length_a 6.185
_cell_length_b 6.185
_cell_length_c 4.973
_cell_angle_alpha 90.00
_cell_angle_beta 90.00
_cell_angle_gamma 90.00
_symmetry_space_group_name_H-M 'P 1'
_symmetry_Int_Tables_number 1
_symmetry_space_group_name_Hall 'P 1'
loop_
_atom_site_label
_atom_site_fract_x
_atom_site_fract_y
_atom_site_fract_z
Ba1 0.000 0.500 0.000
Ba2 0.500 0.000 0.000
Ca1 0.000 0.000 0.500
Ta1 0.500 0.500 0.500
Pt1 0.500 0.500 0.000
# Formation enthalpy at 0 K in meV per atom: 366


21.
# AgAs2Se GGA-PBEsol relaxed
data_AgAs2Se
_cell_length_a 5.125
_cell_length_b 5.125
_cell_length_c 2.821
_cell_angle_alpha 90.00
_cell_angle_beta 90.00
_cell_angle_gamma 90.00
_symmetry_space_group_name_H-M 'P 1'
_symmetry_Int_Tables_number 1
_symmetry_space_group_name_Hall 'P 1'
loop_
_atom_site_label
_atom_site_fract_x
_atom_site_fract_y
_atom_site_fract_z
Ag1 0.000 0.000 0.000
As1 0.000 0.500 0.500
As2 0.500 0.000 0.500
Se1 0.500 0.500 0.000
# Energy relative to the elements, uncorrected in meV/atom: 358


22.
# In3SeN GGA-PBEsol relaxed
data_In3SeN
_cell_length_a 5.478
_cell_length_b 5.478
_cell_length_c 5.478
_cell_angle_alpha 90.00
_cell_angle_beta 90.00
_cell_angle_gamma 90.00
_symmetry_space_group_name_H-M 'P 1'
_symmetry_Int_Tables_number 1
_symmetry_space_group_name_Hall 'P 1'
loop_
_atom_site_label
_atom_site_fract_x
_atom_site_fract_y
_atom_site_fract_z
In1 0.000 0.000 0.500
In2 0.000 0.500 0.000
In3 0.500 0.000 0.000
Se1 0.000 0.000 0.000
N1 0.500 0.500 0.500
# Energy relative to the elements, uncorrected in meV/atom: 1373


23.
# TlCd3 GGA-PBEsol relaxed
data_TlCd3
_cell_length_a 5.516
_cell_length_b 5.516
_cell_length_c 5.676
_cell_angle_alpha 102.25
_cell_angle_beta 102.25
_cell_angle_gamma 32.76
_symmetry_space_group_name_H-M 'P 1'
_symmetry_Int_Tables_number 1
_symmetry_space_group_name_Hall 'P 1'
loop_
_atom_site_label
_atom_site_fract_x
_atom_site_fract_y
_atom_site_fract_z
Tl1 0.000 0.000 0.000
Cd1 0.241 0.241 0.738
Cd2 0.500 0.500 0.500
Cd3 0.759 0.759 0.262
# Formation enthalpy at 0 K in meV per atom: 53


24.
# YSc2Hg GGA-PBEsol relaxed
data_YSc2Hg
_cell_length_a 3.386
_cell_length_b 3.386
_cell_length_c 8.381
_cell_angle_alpha 90.00
_cell_angle_beta 90.00
_cell_angle_gamma 90.00
_symmetry_space_group_name_H-M 'P 1'
_symmetry_Int_Tables_number 1
_symmetry_space_group_name_Hall 'P 1'
loop_
_atom_site_label
_atom_site_fract_x
_atom_site_fract_y
_atom_site_fract_z
Y1 0.000 0.000 0.000
Sc1 0.000 0.000 0.467
Sc2 0.500 0.500 0.719
Hg1 0.500 0.500 0.254
# Formation enthalpy at 0 K in meV per atom: -247


Going through the records in order, we get VASP energy values of -7.51; -4.77; -5.29; -5.07; -4.42; -4.38; -7.14; -5.79; -2.96; -3.48; -1.40; -5.04; -5.03; -5.19; -6.62; -9.17; -10.65; -7.46; -6.58; -4.82; -3.99; -2.89; -1.50; -5.40 eV per atom.